No. 1
The following is a PBE calculation of LiBeRe after structural relaxation, from the Alexandria database.

The structure in POSCAR format:
```
LiBeRe
1.0
4.148 0.000 0.000
-2.074 3.593 0.000
0.000 0.000 2.410
Re Be Li
1 1 1
Direct
0.333 0.667 0.676 Re
0.000 0.000 0.083 Be
0.667 0.333 0.241 Li
```

Distance to the lowest polymorph of the same formula in eV/atom: 0.142
Density of states at the Fermi level in states/eV/f.u.: 1.84
Calculated formation energy in eV per atom: 0.3742


No. 2
The following is a PBE calculation of LiBeRe3 after structural relaxation, from the Alexandria database.

The structure in POSCAR format:
```
LiBeRe3
1.0
4.152 0.000 0.000
0.000 4.152 0.000
0.000 0.000 4.152
Re Be Li
3 1 1
Direct
0.000 0.500 0.000 Re
0.500 0.000 0.000 Re
0.000 0.000 0.500 Re
0.000 0.000 0.000 Be
0.500 0.500 0.500 Li
```

Distance to the lowest polymorph of the same formula in eV/atom: 0.000
Density of states at the Fermi level in states/eV/f.u.: 3.19
Calculated formation energy in eV per atom: 0.9890


No. 3
The following is a PBE calculation of LiBe17Re after structural relaxation, from the Alexandria database.

The structure in POSCAR format:
```
LiBe17Re
1.0
5.467 0.032 0.680
0.605 5.434 0.680
0.035 0.032 5.509
Be Li Re
17 1 1
Direct
0.001 0.301 0.698 Be
0.001 0.698 0.301 Be
0.698 0.001 0.301 Be
0.344 0.845 0.344 Be
0.301 0.698 0.001 Be
0.698 0.301 0.001 Be
0.845 0.344 0.344 Be
0.497 0.008 0.008 Be
0.101 0.101 0.101 Be
0.008 0.008 0.497 Be
0.008 0.497 0.008 Be
0.650 0.166 0.650 Be
0.902 0.902 0.902 Be
0.650 0.650 0.166 Be
0.301 0.001 0.698 Be
0.344 0.344 0.845 Be
0.166 0.650 0.650 Be
0.653 0.653 0.653 Li
0.330 0.330 0.330 Re
```

Density of states at the Fermi level in states/eV/f.u.: 2.74
Calculated formation energy in eV per atom: -0.0694


No. 4
The following is a PBE calculation of LiBeRe after structural relaxation, from the Alexandria database.

The structure in POSCAR format:
```
LiBeRe
1.0
-6.298 -1.748 -0.589
-5.703 -2.247 1.870
-1.300 2.227 -0.045
Be Re Li
1 1 1
Direct
0.992 0.992 0.008 Be
0.344 0.344 0.656 Re
0.664 0.664 0.336 Li
```

Distance to the lowest polymorph of the same formula in eV/atom: 0.000
Density of states at the Fermi level in states/eV/f.u.: 0.90
Calculated formation energy in eV per atom: 0.2323


No. 5
The following is a PBE calculation of LiBeRe after structural relaxation, from the Alexandria database.

The structure in POSCAR format:
```
LiBeRe
1.0
3.757 0.000 0.000
1.879 3.254 0.000
1.879 1.085 3.068
Be Li Re
1 1 1
Direct
0.750 0.750 0.750 Be
0.000 0.000 0.000 Li
0.500 0.500 0.500 Re
```

Distance to the lowest polymorph of the same formula in eV/atom: 0.664
Density of states at the Fermi level in states/eV/f.u.: 2.32
Calculated formation energy in eV per atom: 0.8967


No. 6
The following is a PBE calculation of LiBeRe2 after structural relaxation, from the Alexandria database.

The structure in POSCAR format:
```
LiBeRe2
1.0
-0.653 -2.290 -0.887
2.422 -0.449 -0.624
1.324 -3.287 7.505
Re Li Be
2 1 1
Direct
0.000 0.000 0.026 Re
0.000 0.000 0.474 Re
0.500 0.500 0.750 Li
0.500 0.500 0.250 Be
```

Density of states at the Fermi level in states/eV/f.u.: 2.32
Calculated formation energy in eV per atom: 0.2879


No. 7
The following is a PBE calculation of LiBeRe2 after structural relaxation, from the Alexandria database.

The structure in POSCAR format:
```
LiBeRe2
1.0
4.172 0.000 0.000
2.086 3.613 0.000
2.086 1.204 3.406
Be Re Li
1 2 1
Direct
0.500 0.500 0.500 Be
0.000 0.000 0.000 Re
0.250 0.250 0.250 Re
0.750 0.750 0.750 Li
```

Density of states at the Fermi level in states/eV/f.u.: 2.48
Calculated formation energy in eV per atom: 0.0697


No. 8
The following is a PBE calculation of LiBeRe2 after structural relaxation, from the Alexandria database.

The structure in POSCAR format:
```
LiBeRe2
1.0
3.014 0.000 0.000
0.000 3.014 0.000
0.000 0.000 5.870
Re Li Be
2 1 1
Direct
0.000 0.000 0.017 Re
0.500 0.500 0.256 Re
0.500 0.500 0.725 Li
0.000 0.000 0.502 Be
```

Density of states at the Fermi level in states/eV/f.u.: 4.39
Calculated formation energy in eV per atom: 0.2261


Q: The lowest density of states at the Fermi level belongs to which entry?
A: number 4